Entry from Alexandria via LeMat-Bulk: crystalline CePa3C4 at its relaxed geometry (PBE).

ΔE to the lowest computed polymorph ... 0.0124 eV per atom
Magnetization ... 0.000 μB/f.u.
DFT formation energy ... -0.36 eV/atom

a b c (Å): 5.1066 5.1066 5.1066
angles (deg): 90.00 90.00 90.00
Fractional positions:
Ce 0.0000 0.0000 0.0000
Pa 0.0000 0.5000 0.5000
Pa 0.5000 0.0000 0.5000
Pa 0.5000 0.5000 0.0000
C 0.5000 0.0000 0.0000
C 0.0000 0.0000 0.5000
C 0.5000 0.5000 0.5000
C 0.0000 0.5000 0.0000



Entry from Alexandria via LeMat-Bulk: crystalline ReH3Cl at its relaxed geometry (PBE).

ΔE to the lowest computed polymorph ... 1.1890 eV per atom
Magnetization ... 2.429 μB/f.u.

a b c (Å): 3.6058 3.6058 3.6058
angles (deg): 90.00 90.00 90.00
Fractional positions:
H 0.0000 0.0000 0.5000
H 0.5000 0.0000 0.0000
H 0.0000 0.5000 0.0000
Re 0.5000 0.5000 0.5000
Cl 0.0000 0.0000 0.0000



Entry from Alexandria via LeMat-Bulk: crystalline AcSmIr at its relaxed geometry (PBE).

ΔE to the lowest computed polymorph ... 0.0040 eV per atom
Magnetization ... 0.000 μB/f.u.
DFT formation energy ... -0.55 eV/atom

a b c (Å): 4.3378 7.4619 6.7561
angles (deg): 110.42 90.00 90.00
Fractional positions:
Ac 0.3037 0.7629 0.8139
Ac 0.3038 0.2750 0.3075
Sm 0.8026 0.7832 0.3462
Sm 0.8027 0.2547 0.7753
Ir 0.8033 0.5189 0.5607
Ir 0.3025 0.0190 0.5607



Entry from Alexandria via LeMat-Bulk: crystalline BaMg9Au3 at its relaxed geometry (PBE).

Magnetization ... 0.000 μB/f.u.
DFT formation energy ... -0.33 eV/atom

a b c (Å): 5.6960 7.6129 7.7597
angles (deg): 82.32 68.47 68.66
Fractional positions:
Au 0.5000 0.5000 0.0000
Au 0.5000 0.0000 0.5000
Au 0.0000 0.0000 0.5000
Mg 0.0102 0.3398 0.6408
Mg 0.9898 0.6602 0.3592
Mg 0.4842 0.7836 0.2259
Mg 0.6511 0.3398 0.3592
Mg 0.5158 0.2164 0.7741
Mg 0.3489 0.6602 0.6408
Mg 0.2900 0.2164 0.2259
Mg 0.7100 0.7836 0.7741
Mg 0.0000 0.5000 0.0000
Ba 0.0000 0.0000 0.0000



Entry from Alexandria via LeMat-Bulk: crystalline Mn2HgGe at its relaxed geometry (PBE).

ΔE to the lowest computed polymorph ... 0.0000 eV per atom
Magnetization ... 7.037 μB/f.u.
DFT formation energy ... 0.31 eV/atom

a b c (Å): 4.5432 4.5432 4.5432
angles (deg): 60.00 60.00 60.00
Fractional positions:
Hg 0.5000 0.5000 0.5000
Mn 0.2500 0.2500 0.2500
Mn 0.7500 0.7500 0.7500
Ge 0.0000 0.0000 0.0000



Entry from Alexandria via LeMat-Bulk: crystalline GaPPb at its relaxed geometry (PBE).

ΔE to the lowest computed polymorph ... 0.0000 eV per atom
Magnetization ... 0.000 μB/f.u.
DFT formation energy ... -0.03 eV/atom

a b c (Å): 5.4265 3.8368 3.8368
angles (deg): 120.00 90.00 90.00
Fractional positions:
Ga 0.2559 0.3333 0.6667
Pb 0.6814 0.6667 0.3333
P 0.0627 0.0000 0.0000



Entry from Alexandria via LeMat-Bulk: crystalline Mg2PaSb at its relaxed geometry (PBE).

ΔE to the lowest computed polymorph ... 0.4162 eV per atom
Formation energy (no corrections) ... 259.5 meV/atom
Magnetization ... 0.957 μB/f.u.

a b c (Å): 3.2025 3.2025 11.6213
angles (deg): 82.08 82.08 60.00
Fractional positions:
Pa 0.0000 0.0000 0.0000
Mg 0.0919 0.0919 0.7244
Mg 0.9081 0.9081 0.2756
Sb 0.5000 0.5000 0.5000



Entry from Alexandria via LeMat-Bulk: crystalline CaAs2OsBr at its relaxed geometry (PBE).

ΔE to the lowest computed polymorph ... 0.0000 eV per atom
Formation energy (no corrections) ... -46.9 meV/atom
Magnetization ... 0.000 μB/f.u.

a b c (Å): 4.7462 4.7462 5.6298
angles (deg): 90.00 90.00 90.00
Fractional positions:
Os 0.0000 0.0000 0.0000
Ca 0.5000 0.5000 0.5000
As 0.5000 0.0000 0.0000
As 0.0000 0.5000 0.0000
Br 0.0000 0.0000 0.5000



Entry from Alexandria via LeMat-Bulk: crystalline HgH2Se at its relaxed geometry (PBE).

ΔE to the lowest computed polymorph ... 0.3471 eV per atom
Magnetization ... 0.000 μB/f.u.

a b c (Å): 3.2925 3.2925 7.3601
angles (deg): 77.08 77.08 60.00
Fractional positions:
H 0.1415 0.1415 0.5755
H 0.8585 0.8585 0.4245
Se 0.5000 0.5000 0.5000
Hg 0.0000 0.0000 0.0000



Entry from Alexandria via LeMat-Bulk: crystalline Tm4Cu3 at its relaxed geometry (PBE).

Magnetization ... 0.000 μB/f.u.
DFT formation energy ... -0.16 eV/atom

a b c (Å): 4.8015 4.8015 8.3223
angles (deg): 73.23 73.23 60.00
Fractional positions:
Cu 0.0000 0.0000 0.0000
Cu 0.7494 0.7494 0.7518
Cu 0.2506 0.2506 0.2482
Tm 0.3759 0.3759 0.8722
Tm 0.8744 0.8744 0.3767
Tm 0.1256 0.1256 0.6233
Tm 0.6241 0.6241 0.1278



Entry from Alexandria via LeMat-Bulk: crystalline Tm2AlCd at its relaxed geometry (PBE).

Magnetization ... 0.000 μB/f.u.
DFT formation energy ... -0.36 eV/atom

a b c (Å): 3.5921 3.5921 7.3921
angles (deg): 90.00 90.00 90.00
Fractional positions:
Tm 0.0000 0.0000 0.2384
Tm 0.0000 0.0000 0.7616
Al 0.5000 0.5000 0.0000
Cd 0.5000 0.5000 0.5000



Entry from Alexandria via LeMat-Bulk: crystalline Rb3Ag2I2F3 at its relaxed geometry (PBE).

Formation energy (no corrections) ... -1491.4 meV/atom
Magnetization ... 0.000 μB/f.u.

a b c (Å): 5.5997 5.5997 12.1617
angles (deg): 103.31 103.31 90.00
Fractional positions:
Ag 0.2081 0.2081 0.4162
Ag 0.7919 0.7919 0.5838
F 0.8900 0.8900 0.7799
F 0.1100 0.1100 0.2201
F 0.5000 0.5000 0.0000
I 0.2500 0.7500 0.5000
I 0.7500 0.2500 0.5000
Rb 0.0000 0.0000 0.0000
Rb 0.6161 0.6161 0.2321
Rb 0.3839 0.3839 0.7679